A relaxed structure of Li2Si2NiO6, computed with PBE+U.

Calculated values
**DOS(E_F)**: 0.000 states/eV per cell
**Final energy**: -71.9 eV per formula unit

Lattice parameters (Å, degrees): 5.3941 4.6848 9.6544 90.00 92.98 90.00
Closest atoms and distances in Å follow each position.
Space group P2_1 (No. 4)
Unique sites:
Li1 0.1627 0.0000 0.0187 x2  4 O 1.96-2.10
Li2 0.3282 0.5140 0.1754 x2  3 O 1.95-2.01
Si1 0.1405 0.9900 0.6778 x2  4 O 1.60-1.70
Si2 0.3089 0.4940 0.8431 x2  4 O 1.61-1.68
Ni1 0.3730 0.0909 0.3863 x2  4 O 1.94-2.15
O1 0.1457 0.4009 0.3383 x2  1 Si 1.60
O2 0.1507 0.3388 0.7105 x2  2 Si 1.66-1.67
O3 0.2010 0.4109 0.9897 x2  1 Si 1.61
O4 0.2707 0.8494 0.8263 x2  2 Si 1.68-1.70
O5 0.3380 0.8965 0.5630 x2  1 Si 1.64
O6 0.3989 0.9356 0.1841 x2  1 Si 1.63